A relaxed structure of Li2Ni2OsO6, computed with GGA+U.

The structure belongs to space group C2/m (No. 12); the cell edges are 5.2896, 8.8276 and 5.2317 Å and the angles 90.00°, 111.53° and 90.00°. The distinct sites, in fractional coordinates, are Li at (0.0000, 0.1755, 0.0000), Ni at (0.0000, 0.3383, 0.5000), Os at (0.0000, 0.0000, 0.5000), O at (0.2248, 0.0000, 0.2749) and O at (0.2311, 0.1610, 0.7223).

For the energy, the calculation gives -5.81 eV/atom. The value obtained for the density is 6.1 g cm⁻³.